Below is a geometry-optimized CeSn3Rh2 structure, with properties calculated at the GGA-PBE level.

## Properties
DFT formation energy	-547	meV per atom
total moment	0.7	μB per formula unit
DFT total energy	-107.78	eV for the cell shown
crystal system	monoclinic
space-group type	No. 12

Cell and atoms, written as POSCAR:
```
CeSn3Rh2
1.0
4.405 0.000 0.000
-2.203 8.435 -2.538
0.000 0.236 10.615
Sn Rh Ce
9 6 3
direct
0.367 0.734 0.818
0.775 0.549 0.627
0.656 0.312 0.925
0.344 0.688 0.075
0.952 0.904 0.653
0.633 0.266 0.182
0.048 0.096 0.347
0.225 0.451 0.373
0.500 0.000 0.500
0.510 0.021 0.774
0.198 0.396 0.099
0.802 0.604 0.901
0.490 0.979 0.226
0.359 0.717 0.558
0.641 0.283 0.442
0.850 0.700 0.308
0.000 0.000 0.000
0.150 0.300 0.692
```